No. 1
Compound: KSr3
Source: Alexandria via LeMat-Bulk
Functional: meta-GGA SCAN
Structure: PBEsol geometry

The size of the total moment comes out at 0.050 μB per atom. Its total DFT energy (no corrections) is -18.703 eV/atom. The calculation puts the excess energy over the best structure of this formula in the dataset at 35 meV per atom. Its energy of formation from the pure elements is 0.086 eV/atom. Its density is 2276 kg/m3.

Unit cell a=4.1236 b=6.7567 c=8.0404 alpha=90.00 beta=100.39 gamma=90.00
Positions (direct):
K (0.0000, 0.0000, 0.0000)
Sr (0.2240, 0.5000, 0.7436)
Sr (0.5000, 0.0000, 0.5000)
Sr (0.7760, 0.5000, 0.2564)

No. 2
Compound: NiRh2O4
Source: Alexandria via LeMat-Bulk
Functional: meta-GGA SCAN
Structure: PBEsol geometry

The size of the total moment comes out at 0.286 μB per atom. Its total DFT energy (no corrections) is -16.479 eV/atom. Its formation energy (no corrections) is -6.7 eV/f.u. Its density is 7320 kg/m3.

Unit cell a=5.9550 b=5.9550 c=5.9550 alpha=120.12 beta=120.12 gamma=89.79
Positions (direct):
Ni (0.3750, 0.6250, 0.7500)
Ni (0.6250, 0.3750, 0.2500)
Rh (0.0000, 0.0000, 0.0000)
Rh (0.0000, 0.0000, 0.5000)
Rh (0.0000, 0.5000, 0.0000)
Rh (0.5000, 0.0000, 0.5000)
O (0.2243, 0.2408, 0.9834)
O (0.2408, 0.2243, 0.4834)
O (0.2408, 0.7574, 0.0166)
O (0.2426, 0.7592, 0.4834)
O (0.7574, 0.2408, 0.5166)
O (0.7592, 0.2426, 0.9834)
O (0.7592, 0.7757, 0.5166)
O (0.7757, 0.7592, 0.0166)

No. 3
Compound: Nb3TeI7
Source: Alexandria via LeMat-Bulk
Functional: meta-GGA SCAN
Structure: PBEsol geometry

The size of the total moment comes out at 0.000 μB per atom. Its total DFT energy (no corrections) is -36.382 eV/atom. Its formation energy (no corrections) is -6.4 eV/f.u. Its density is 6276 kg/m3.

Unit cell a=7.5721 b=7.5721 c=13.7966 alpha=90.00 beta=90.00 gamma=120.00
Positions (direct):
Nb (0.1332, 0.2664, 0.0000)
Nb (0.1332, 0.8668, 0.0000)
Nb (0.2664, 0.1332, 0.5000)
Nb (0.7336, 0.8668, 0.0000)
Nb (0.8668, 0.1332, 0.5000)
Nb (0.8668, 0.7336, 0.5000)
Te (0.0000, 0.0000, 0.1501)
Te (0.0000, 0.0000, 0.6501)
I (0.0046, 0.5023, 0.6110)
I (0.1694, 0.3387, 0.3671)
I (0.1694, 0.8306, 0.3671)
I (0.3333, 0.6667, 0.8959)
I (0.3387, 0.1694, 0.8671)
I (0.4977, 0.5023, 0.6110)
I (0.4977, 0.9954, 0.6110)
I (0.5023, 0.0046, 0.1110)
I (0.5023, 0.4977, 0.1110)
I (0.6613, 0.8306, 0.3671)
I (0.6667, 0.3333, 0.3959)
I (0.8306, 0.1694, 0.8671)
I (0.8306, 0.6613, 0.8671)
I (0.9954, 0.4977, 0.1110)